[1]
DFT (PBE-GGA) results for a relaxed Sn2Hg2Pb5 crystal.

```
data_Sn2Hg2Pb5
_space_group_name_H-M_alt 'P 1'
_space_group_IT_number 1
_space_group_name_Hall 'P 1'
_cell_length_a 8.3251
_cell_length_b 7.9386
_cell_length_c 9.2368
_cell_angle_alpha 115.45
_cell_angle_beta 90.00
_cell_angle_gamma 90.00
loop_
_atom_site_label
_atom_site_type_symbol
_atom_site_fract_x
_atom_site_fract_y
_atom_site_fract_z
Hg1 Hg 0.3609 0.1367 0.0000
Hg2 Hg 0.8609 0.3633 0.0000
Hg3 Hg 0.6391 0.8633 0.0000
Hg4 Hg 0.1391 0.6367 0.0000
Pb1 Pb 0.6604 0.2960 0.2857
Pb2 Pb 0.5000 0.5000 0.0000
Pb3 Pb 0.3396 0.9897 0.2857
Pb4 Pb 0.8396 0.7960 0.2857
Pb5 Pb 0.8396 0.5103 0.7143
Pb6 Pb 0.1604 0.4897 0.2857
Pb7 Pb 0.1604 0.2040 0.7143
Pb8 Pb 0.3396 0.7040 0.7143
Pb9 Pb 0.6604 0.0103 0.7143
Pb10 Pb 0.0000 0.0000 0.0000
Sn1 Sn 0.0000 0.1985 0.3970
Sn2 Sn 0.5000 0.3015 0.6030
Sn3 Sn 0.5000 0.6985 0.3970
Sn4 Sn 0.0000 0.8015 0.6030
```

DFT total energy: -2.948 eV per atom
space-group type: Cmce, No. 64



[2]
DFT (PBE-GGA) results for a relaxed Sn2Hg2Pb crystal.

```
data_Sn2Hg2Pb
_space_group_name_H-M_alt 'P 1'
_space_group_IT_number 1
_space_group_name_Hall 'P 1'
_cell_length_a 4.3521
_cell_length_b 4.3521
_cell_length_c 8.2115
_cell_angle_alpha 74.63
_cell_angle_beta 74.63
_cell_angle_gamma 90.00
loop_
_atom_site_label
_atom_site_type_symbol
_atom_site_fract_x
_atom_site_fract_y
_atom_site_fract_z
Hg1 Hg 0.7500 0.2500 0.5000
Hg2 Hg 0.2500 0.7500 0.5000
Sn1 Sn 0.6008 0.6008 0.7984
Sn2 Sn 0.3992 0.3992 0.2016
Pb1 Pb 0.0000 0.0000 0.0000
```

DFT total energy: -2.347 eV per atom
space-group type: I4/mmm, No. 139



[3]
DFT (PBE-GGA) results for a relaxed SnHg6Pb8 crystal.

```
data_SnHg6Pb8
_space_group_name_H-M_alt 'P 1'
_space_group_IT_number 1
_space_group_name_Hall 'P 1'
_cell_length_a 3.5637
_cell_length_b 11.9379
_cell_length_c 11.9379
_cell_angle_alpha 120.00
_cell_angle_beta 90.00
_cell_angle_gamma 90.00
loop_
_atom_site_label
_atom_site_type_symbol
_atom_site_fract_x
_atom_site_fract_y
_atom_site_fract_z
Sn1 Sn 0.5000 0.0000 0.0000
Pb1 Pb 0.2348 0.7871 0.7013
Pb2 Pb 0.7652 0.0858 0.7871
Pb3 Pb 0.7697 0.6667 0.3333
Pb4 Pb 0.2348 0.2987 0.0858
Pb5 Pb 0.2348 0.9142 0.2129
Pb6 Pb 0.2303 0.3333 0.6667
Pb7 Pb 0.7652 0.7013 0.9142
Pb8 Pb 0.7652 0.2129 0.2987
Hg1 Hg 0.2576 0.6120 0.0909
Hg2 Hg 0.7424 0.0909 0.4789
Hg3 Hg 0.7424 0.5211 0.6120
Hg4 Hg 0.7424 0.3880 0.9091
Hg5 Hg 0.2576 0.4789 0.3880
Hg6 Hg 0.2576 0.9091 0.5211
```

DFT total energy: -2.309 eV per atom
space-group type: P-3, No. 147



[4]
DFT (PBE-GGA) results for a relaxed Sn2Hg2Pb crystal.

```
data_Sn2Hg2Pb
_space_group_name_H-M_alt 'P 1'
_space_group_IT_number 1
_space_group_name_Hall 'P 1'
_cell_length_a 8.5565
_cell_length_b 8.5565
_cell_length_c 3.7889
_cell_angle_alpha 90.00
_cell_angle_beta 90.00
_cell_angle_gamma 90.00
loop_
_atom_site_label
_atom_site_type_symbol
_atom_site_fract_x
_atom_site_fract_y
_atom_site_fract_z
Sn1 Sn 0.6725 0.8275 0.5000
Sn2 Sn 0.3275 0.1725 0.5000
Sn3 Sn 0.8275 0.3275 0.5000
Sn4 Sn 0.1725 0.6725 0.5000
Hg1 Hg 0.8702 0.6298 0.0000
Hg2 Hg 0.6298 0.1298 0.0000
Hg3 Hg 0.1298 0.3702 0.0000
Hg4 Hg 0.3702 0.8702 0.0000
Pb1 Pb 0.5000 0.5000 0.0000
Pb2 Pb 0.0000 0.0000 0.0000
```

DFT total energy: -2.378 eV per atom
space-group type: P4/mbm, No. 127



[5]
DFT (PBE-GGA) results for a relaxed Sn3HgPb crystal.

```
data_Sn3HgPb
_space_group_name_H-M_alt 'P 1'
_space_group_IT_number 1
_space_group_name_Hall 'P 1'
_cell_length_a 5.5807
_cell_length_b 5.5807
_cell_length_c 5.5807
_cell_angle_alpha 90.00
_cell_angle_beta 90.00
_cell_angle_gamma 90.00
loop_
_atom_site_label
_atom_site_type_symbol
_atom_site_fract_x
_atom_site_fract_y
_atom_site_fract_z
Sn1 Sn 0.5000 0.0000 0.0000
Sn2 Sn 0.0000 0.0000 0.5000
Sn3 Sn 0.0000 0.5000 0.0000
Pb1 Pb 0.5000 0.5000 0.5000
Hg1 Hg 0.0000 0.0000 0.0000
```

DFT total energy: -2.713 eV per atom
space-group type: Pm-3m, No. 221



[6]
DFT (PBE-GGA) results for a relaxed Sn6HgPb2 crystal.

```
data_Sn6HgPb2
_space_group_name_H-M_alt 'P 1'
_space_group_IT_number 1
_space_group_name_Hall 'P 1'
_cell_length_a 4.4304
_cell_length_b 7.5188
_cell_length_c 8.8782
_cell_angle_alpha 115.05
_cell_angle_beta 90.00
_cell_angle_gamma 90.00
loop_
_atom_site_label
_atom_site_type_symbol
_atom_site_fract_x
_atom_site_fract_y
_atom_site_fract_z
Sn1 Sn 0.0000 0.7488 0.7890
Sn2 Sn 0.0000 0.9599 0.2110
Sn3 Sn 0.0000 0.3485 0.0000
Sn4 Sn 0.5000 0.3311 0.3734
Sn5 Sn 0.5000 0.9577 0.6266
Sn6 Sn 0.5000 0.6412 0.0000
Hg1 Hg 0.5000 0.0795 0.0000
Pb1 Pb 0.0000 0.2760 0.6186
Pb2 Pb 0.0000 0.6574 0.3814
```

DFT total energy: -3.408 eV per atom
space-group type: Amm2, No. 38



[7]
DFT (PBE-GGA) results for a relaxed Sn2Hg6Pb crystal.

```
data_Sn2Hg6Pb
_space_group_name_H-M_alt 'P 1'
_space_group_IT_number 1
_space_group_name_Hall 'P 1'
_cell_length_a 4.9513
_cell_length_b 9.8992
_cell_length_c 12.7888
_cell_angle_alpha 43.47
_cell_angle_beta 140.63
_cell_angle_gamma 137.45
loop_
_atom_site_label
_atom_site_type_symbol
_atom_site_fract_x
_atom_site_fract_y
_atom_site_fract_z
Sn1 Sn 0.6359 0.7793 0.9871
Sn2 Sn 0.3641 0.2207 0.0129
Hg1 Hg 0.9410 0.3865 0.4304
Hg2 Hg 0.0054 0.9763 0.7744
Hg3 Hg 0.7907 0.4552 0.8028
Hg4 Hg 0.0590 0.6135 0.5696
Hg5 Hg 0.2093 0.5448 0.1972
Hg6 Hg 0.9946 0.0237 0.2256
Pb1 Pb 0.0000 0.0000 0.5000
```

DFT total energy: -1.441 eV per atom
space-group type: P-1, No. 2



[8]
DFT (PBE-GGA) results for a relaxed Sn4Hg2Pb crystal.

```
data_Sn4Hg2Pb
_space_group_name_H-M_alt 'P 1'
_space_group_IT_number 1
_space_group_name_Hall 'P 1'
_cell_length_a 3.4340
_cell_length_b 3.4803
_cell_length_c 16.5364
_cell_angle_alpha 96.04
_cell_angle_beta 90.00
_cell_angle_gamma 90.00
loop_
_atom_site_label
_atom_site_type_symbol
_atom_site_fract_x
_atom_site_fract_y
_atom_site_fract_z
Sn1 Sn 0.0000 0.6448 0.2895
Sn2 Sn 0.5000 0.0761 0.1523
Sn3 Sn 0.5000 0.9239 0.8477
Sn4 Sn 0.0000 0.3552 0.7105
Pb1 Pb 0.0000 0.5000 0.0000
Hg1 Hg 0.5000 0.2126 0.4251
Hg2 Hg 0.5000 0.7874 0.5749
```

DFT total energy: -2.851 eV per atom
space-group type: Cmmm, No. 65



[9]
DFT (PBE-GGA) results for a relaxed Sn3HgPb3 crystal.

```
data_Sn3HgPb3
_space_group_name_H-M_alt 'P 1'
_space_group_IT_number 1
_space_group_name_Hall 'P 1'
_cell_length_a 8.3898
_cell_length_b 8.3898
_cell_length_c 8.3898
_cell_angle_alpha 90.00
_cell_angle_beta 90.00
_cell_angle_gamma 90.00
loop_
_atom_site_label
_atom_site_type_symbol
_atom_site_fract_x
_atom_site_fract_y
_atom_site_fract_z
Pb1 Pb 0.0000 0.5000 0.7500
Pb2 Pb 0.7500 0.0000 0.5000
Pb3 Pb 0.2500 0.0000 0.5000
Pb4 Pb 0.0000 0.5000 0.2500
Pb5 Pb 0.5000 0.2500 0.0000
Pb6 Pb 0.5000 0.7500 0.0000
Hg1 Hg 0.5000 0.5000 0.5000
Hg2 Hg 0.0000 0.0000 0.0000
Sn1 Sn 0.7500 0.5000 0.0000
Sn2 Sn 0.5000 0.0000 0.2500
Sn3 Sn 0.2500 0.5000 0.0000
Sn4 Sn 0.0000 0.7500 0.5000
Sn5 Sn 0.0000 0.2500 0.5000
Sn6 Sn 0.5000 0.0000 0.7500
```

DFT total energy: -3.101 eV per atom
space-group type: Pm-3n, No. 223



[10]
DFT (PBE-GGA) results for a relaxed Sn2Hg2Pb5 crystal.

```
data_Sn2Hg2Pb5
_space_group_name_H-M_alt 'P 1'
_space_group_IT_number 1
_space_group_name_Hall 'P 1'
_cell_length_a 6.0779
_cell_length_b 8.9426
_cell_length_c 11.4854
_cell_angle_alpha 118.24
_cell_angle_beta 84.53
_cell_angle_gamma 105.58
loop_
_atom_site_label
_atom_site_type_symbol
_atom_site_fract_x
_atom_site_fract_y
_atom_site_fract_z
Pb1 Pb 0.7990 0.3856 0.4420
Pb2 Pb 0.2361 0.1636 0.3334
Pb3 Pb 0.3486 0.6146 0.5583
Pb4 Pb 0.4656 0.0540 0.7926
Pb5 Pb 0.4070 0.3292 0.6709
Pb6 Pb 0.6828 0.9462 0.2071
Pb7 Pb 0.1256 0.7214 0.1018
Pb8 Pb 0.7395 0.6706 0.3290
Pb9 Pb 0.9120 0.8366 0.6666
Pb10 Pb 0.0227 0.2787 0.8986
Hg1 Hg 0.0742 0.9997 0.9998
Hg2 Hg 0.5740 0.5001 0.0001
Hg3 Hg 0.3072 0.8877 0.4395
Hg4 Hg 0.8401 0.1121 0.5602
Sn1 Sn 0.1807 0.4497 0.2234
Sn2 Sn 0.9657 0.5501 0.7769
Sn3 Sn 0.5416 0.7591 0.8844
Sn4 Sn 0.6054 0.2409 0.1155
```

DFT total energy: -2.984 eV per atom
space-group type: P1, No. 1